[1]
Material: Sr2Ni3As4Rh
Method: DFT, PBE
State: optimized geometry

```
10
Lattice="4.292 0.000 0.000 0.000 4.292 0.000 0.000 0.000 9.769" Properties=species:S:1:pos:R:3 pbc="T T T"
Sr 0.000 2.146 2.402
Sr 2.146 0.000 7.366
Ni 0.000 2.146 8.627
Ni 2.146 0.000 1.142
Ni 2.146 2.146 4.884
As 0.000 0.000 0.000
As 0.000 2.146 6.180
As 2.146 0.000 3.589
As 2.146 2.146 0.000
Rh 0.000 0.000 4.884
```

Calculated values
final energy: -5.34 eV per atom

[2]
Material: Sr2NiAs3Rh4
Method: DFT, PBE
State: optimized geometry

```
10
Lattice="4.276 0.000 0.000 0.000 4.276 0.000 0.000 0.000 10.184" Properties=species:S:1:pos:R:3 pbc="T T T"
Sr 0.000 2.138 2.464
Sr 2.138 0.000 7.720
Ni 2.138 2.138 0.000
As 0.000 0.000 0.000
As 0.000 2.138 6.467
As 2.138 0.000 3.717
Rh 0.000 0.000 5.092
Rh 0.000 2.138 8.939
Rh 2.138 0.000 1.245
Rh 2.138 2.138 5.092
```

Calculated values
final energy: -5.91 eV per atom

[3]
Material: TaNiAs2Rh
Method: DFT, PBE
State: optimized geometry

```
5
Lattice="4.384 0.000 0.000 0.000 4.384 0.000 0.000 0.000 4.630" Properties=species:S:1:pos:R:3 pbc="T T T"
Ta 0.000 0.000 0.000
Ni 2.192 2.192 2.315
As 0.000 2.192 2.315
As 2.192 0.000 2.315
Rh 2.192 2.192 0.000
```

Calculated values
final energy: -6.09 eV per atom